(1)
DFT (GGA-PBE) results for ErGa4Pd2 after structural relaxation.

Cell and atoms, written as extended XYZ:
```
14
Lattice="-3.6854 -0.3325 0.0924 0.6054 -4.8338 6.7516 -0.4858 6.7373 4.8671" Properties=species:S:1:pos:R:3 pbc="T T T"
Er -1.8427 -0.1662 0.0462
Er 0.0598 0.9518 5.8093
Ga -0.1076 1.7648 2.0579
Ga 0.2272 0.1387 9.5608
Ga -2.0118 2.8317 4.0888
Ga -1.5540 -1.2607 7.6223
Ga -1.9831 3.2892 6.8813
Ga -1.5828 -1.7182 4.8298
Ga 0.1546 -1.0163 2.5108
Ga -0.0351 2.9198 9.1079
Pd -0.2619 4.3633 5.2537
Pd 0.3815 -2.4598 6.3650
Pd -1.7584 1.1760 8.2393
Pd -1.8075 0.3950 3.4718
```

Total magnetization, Bohr magnetons per cell: 0.00
VASP energy, eV per atom: -4.420
Offset from the most stable computed form, meV/atom: 114
E_form, eV/atom: -0.555
Space-group type: P4_2/mnm (136)

***

(2)
DFT (GGA-PBE) results for Sm3TeAu after structural relaxation.

Cell and atoms, written as extended XYZ:
```
20
Lattice="-0.3949 3.9784 0.6307 -10.3022 -2.0207 6.2962 6.4275 -0.9795 10.2027" Properties=species:S:1:pos:R:3 pbc="T T T"
Sm 1.5304 -0.3077 9.3923
Sm -0.7862 0.3580 3.7426
Sm -5.8000 1.2859 7.7373
Sm -3.4835 0.6202 13.3869
Sm -3.0552 -0.8075 9.6741
Sm -8.7958 -0.8134 6.1171
Sm -1.2144 1.7857 7.4554
Sm 4.5262 1.7916 11.0125
Sm 3.3167 2.2352 7.4573
Sm -3.9116 1.9375 4.8094
Sm -7.5863 -1.2569 9.6723
Sm -0.3581 -0.9593 12.3202
Te 1.2515 0.1741 6.1787
Te 2.8418 -0.6340 12.2722
Te -5.5211 0.8041 10.9508
Te -7.1114 1.6123 4.8573
Au -0.9822 1.3311 10.4689
Au 0.7369 2.7883 2.3528
Au -3.2875 -0.3528 6.6607
Au -5.0066 -1.8101 14.7767
```

Total magnetization, Bohr magnetons per cell: 0.00
VASP energy, eV per atom: -4.960
Space-group type: Pnma (62)

***

(3)
DFT (GGA-PBE) results for CrTcTe after structural relaxation.

Cell and atoms, written as extended XYZ:
```
12
Lattice="5.9281 0.0000 0.0000 0.0000 5.9281 0.0000 0.0000 0.0000 5.9281" Properties=species:S:1:pos:R:3 pbc="T T T"
Cr 1.4820 1.4820 1.4820
Cr 1.4820 4.4460 4.4460
Cr 4.4460 1.4820 4.4460
Cr 4.4460 4.4460 1.4820
Te 0.0000 0.0000 0.0000
Te 0.0000 2.9640 2.9640
Te 2.9640 0.0000 2.9640
Te 2.9640 2.9640 0.0000
Tc 2.9640 2.9640 2.9640
Tc 2.9640 0.0000 0.0000
Tc 0.0000 2.9640 0.0000
Tc 0.0000 0.0000 2.9640
```

Total magnetization, Bohr magnetons per cell: 0.00
VASP energy, eV per atom: -7.447
Offset from the most stable computed form, meV/atom: 274
Space-group type: F-43m (216)

***

Number 1: density 8530 kg/m³, calculated volume 18.3 A^3/atom. Number 2: density 8595 kg/m³, calculated volume 30.0 A^3/atom. Number 3: density 8851 kg/m³, calculated volume 17.4 A^3/atom.